Entry from the Alexandria database: a relaxed LaFeRhS2 crystal (PBE-GGA).

```
LaFeRhS2
1.0
4.8010 0.0000 0.0000
0.0000 4.9987 0.0000
0.0000 0.0000 4.8010
Rh S La Fe
1 2 1 1
Direct
0.0000 0.0000 0.0000 Rh
0.0000 0.0000 0.5000 S
0.5000 0.0000 0.0000 S
0.0000 0.5000 0.0000 La
0.5000 0.5000 0.5000 Fe
```

VASP energy = -5.666 eV/atom
energy relative to the elements, uncorrected = 0.134 eV/atom